1.
A plane-wave DFT calculation with PBE-GGA was carried out for a relaxed structure of KCaCoCl5.

POSCAR file:
```
KCaCoCl5
1.0
-6.889 0.075 -2.836
4.175 -3.772 -4.884
-0.688 -6.062 7.673
K Ca Co Cl
2 2 2 10
direct
0.345 0.655 0.250 K
0.655 0.345 0.750 K
0.000 0.000 0.500 Ca
0.000 0.000 0.000 Ca
0.683 0.317 0.250 Co
0.317 0.683 0.750 Co
0.087 0.913 0.250 Cl
0.913 0.087 0.750 Cl
0.907 0.327 0.128 Cl
0.093 0.673 0.872 Cl
0.673 0.093 0.372 Cl
0.327 0.907 0.628 Cl
0.744 0.608 0.427 Cl
0.256 0.392 0.573 Cl
0.392 0.256 0.073 Cl
0.608 0.744 0.927 Cl
```

Values from the calculation:
The total energy is -4.036 eV per atom.

2.
A plane-wave DFT calculation with PBE-GGA was carried out for a relaxed structure of KCaCoCl6.

POSCAR file:
```
KCaCoCl6
1.0
6.641 0.000 0.000
3.320 5.751 0.000
0.000 0.000 6.807
K Ca Co Cl
1 1 1 6
direct
0.000 0.000 0.000 K
0.667 0.667 0.500 Ca
0.333 0.333 0.500 Co
0.052 0.341 0.302 Cl
0.341 0.052 0.698 Cl
0.607 0.341 0.698 Cl
0.052 0.607 0.698 Cl
0.341 0.607 0.302 Cl
0.607 0.052 0.302 Cl
```

Values from the calculation:
The total energy is -3.825 eV per atom.

no.,E_form (uncorrected) (meV per atom)
1,-1606
2,-1460